A plane-wave DFT calculation with PBE was carried out for NdEuGePd after structural relaxation.

The space group is F-43m (No. 216) and the conventional cell measures 7.332, 7.332 and 7.332 Å, with angles of 90.00, 90.00 and 90.00 degrees. Symmetry generates all atoms from Nd at (0.000, 0.000, 0.000), Eu at (0.000, 0.000, 0.500), Ge at (0.250, 0.250, 0.750) and Pd at (0.250, 0.250, 0.250).

The formation energy comes out at -0.6633 eV/atom. The value obtained for the spin magnetization is 27.4 Bohr magnetons per cell. The total energy comes out at -0.505 Ry/atom.